# CsLiLaTe2

CsLiLaTe2 after structural relaxation (PBE-GGA, Alexandria).

abc: 9.137 9.137 7.200
angles: 90.00 90.00 135.61
Positions (direct):
Cs1 0.250 0.750 0.764
Cs2 0.750 0.250 0.236
Li1 0.000 0.000 0.000
Li2 0.500 0.500 0.000
La1 0.250 0.250 0.500
La2 0.750 0.750 0.500
Te1 0.117 0.883 0.246
Te2 0.383 0.617 0.246
Te3 0.617 0.383 0.754
Te4 0.883 0.117 0.754

## Properties
VASP energy	-3.809	eV/atom